[1]
Computed, not measured: Pm2Sm6Er3Mg after structural relaxation at the PBE level of DFT.

Cell: 6.193 6.193 11.796 Å, 95.03 95.03 120.04°
Atoms (fractional coordinates):
Pm 0.167 0.833 0.000
Pm 0.833 0.167 0.000
Sm 0.085 0.416 0.748
Sm 0.252 0.252 0.253
Sm 0.416 0.085 0.748
Sm 0.584 0.915 0.252
Sm 0.748 0.748 0.747
Sm 0.915 0.584 0.252
Er 0.000 0.000 0.500
Er 0.334 0.666 0.500
Er 0.666 0.334 0.500
Mg 0.500 0.500 0.000

DFT formation energy ... 0.015 eV per atom
Fermi-level density of states ... 13.51 states/eV per cell
DFT total energy ... -4.41 eV per atom

***

[2]
Computed, not measured: CePrInCu after structural relaxation at the PBE level of DFT.

Cell: 5.330 5.330 5.330 Å, 60.00 60.00 60.00°
Atoms (fractional coordinates):
Ce 0.000 0.000 0.000
Pr 0.500 0.500 0.500
In 0.250 0.250 0.250
Cu 0.750 0.750 0.750

DFT formation energy ... -0.157 eV per atom
Fermi-level density of states ... 10.60 states/eV per cell
DFT total energy ... -4.54 eV per atom